Run 1
The following is a GGA-PBE calculation of an optimized crystal structure of BeCo2Ge, from OQMD via LeMat-Bulk.

Space-group type ... Fm-3m (225)

```
4
Lattice="0.000 2.748 2.748 2.748 0.000 2.748 2.748 2.748 0.000" Properties=species:S:1:pos:R:3 pbc="T T T"
Be 0.000 0.000 0.000
Co 1.374 1.374 1.374
Co 4.121 4.121 4.121
Ge 2.748 2.748 2.748
```

---

Run 2
The following is a GGA-PBE calculation of an optimized crystal structure of BeCo2Ge, from OQMD via LeMat-Bulk.

Space-group type ... P6_3/mmc (194)

```
8
Lattice="3.773 0.000 0.000 -1.887 3.268 0.000 0.000 0.000 7.317" Properties=species:S:1:pos:R:3 pbc="T T T"
Be 0.000 0.000 0.000
Be 0.000 0.000 3.659
Co 0.000 2.179 0.620
Co 0.000 2.179 3.039
Co 1.887 1.089 4.279
Co 1.887 1.089 6.697
Ge 0.000 2.179 5.488
Ge 1.887 1.089 1.829
```

---

Run 3
The following is a GGA-PBE calculation of an optimized crystal structure of BeCo2Ge, from OQMD via LeMat-Bulk.

Space-group type ... P4/mmm (123)

```
4
Lattice="3.806 0.000 0.000 0.000 3.806 0.000 0.000 0.000 2.889" Properties=species:S:1:pos:R:3 pbc="T T T"
Be 0.000 0.000 0.000
Co 0.000 1.903 1.444
Co 1.903 0.000 1.444
Ge 1.903 1.903 0.000
```

---

Quick one: least stable of them? run 2

---

Run 1
The following is a GGA-PBE calculation of an optimized crystal structure of BeCo2Ge, from OQMD via LeMat-Bulk.

Space-group type ... P6_3/mmc (194)

```
8
Lattice="3.934 0.000 0.000 -1.967 3.407 0.000 0.000 0.000 6.963" Properties=species:S:1:pos:R:3 pbc="T T T"
Be 0.000 2.271 1.741
Be 1.967 1.136 5.222
Co 0.000 2.271 4.079
Co 0.000 2.271 6.366
Co 1.967 1.136 0.597
Co 1.967 1.136 2.884
Ge 0.000 0.000 0.000
Ge 0.000 0.000 3.482
```

---

Run 2
The following is a GGA-PBE calculation of an optimized crystal structure of BeCo2Ge, from OQMD via LeMat-Bulk.

Space-group type ... F-43m (216)

```
4
Lattice="0.000 2.790 2.790 2.790 0.000 2.790 2.790 2.790 0.000" Properties=species:S:1:pos:R:3 pbc="T T T"
Be 0.000 0.000 0.000
Co 2.790 2.790 2.790
Co 4.186 4.186 4.186
Ge 1.395 1.395 1.395
```

---

Quick one: least stable of them? run 2

---

Run 1
The following is a GGA-PBE calculation of an optimized crystal structure of BeCo2Ge, from OQMD via LeMat-Bulk.

Space-group type ... P6_3/mmc (194)

```
8
Lattice="3.866 0.000 0.000 -1.933 3.348 0.000 0.000 0.000 6.964" Properties=species:S:1:pos:R:3 pbc="T T T"
Be 0.000 2.232 1.741
Be 1.933 1.116 5.223
Co 0.000 2.232 4.044
Co 0.000 2.232 6.402
Co 1.933 1.116 0.562
Co 1.933 1.116 2.920
Ge 0.000 0.000 1.741
Ge 0.000 0.000 5.223
```

---

Run 2
The following is a GGA-PBE calculation of an optimized crystal structure of BeCo2Ge, from OQMD via LeMat-Bulk.

Space-group type ... P4/mmm (123)

```
4
Lattice="3.803 0.000 0.000 0.000 3.803 0.000 0.000 0.000 2.894" Properties=species:S:1:pos:R:3 pbc="T T T"
Be 0.000 0.000 0.000
Co 0.000 1.902 1.447
Co 1.902 0.000 1.447
Ge 1.902 1.902 0.000
```

---

Quick one: least stable of them? run 1

---

Run 1
The following is a GGA-PBE calculation of an optimized crystal structure of MgBeCoGe, from OQMD via LeMat-Bulk.

Space-group type ... F-43m (216)

```
4
Lattice="0.000 2.921 2.921 2.921 0.000 2.921 2.921 2.921 0.000" Properties=species:S:1:pos:R:3 pbc="T T T"
Mg 0.000 0.000 0.000
Be 4.382 4.382 4.382
Co 1.461 1.461 1.461
Ge 2.921 2.921 2.921
```

---

Run 2
The following is a GGA-PBE calculation of an optimized crystal structure of MgBeCoGe, from OQMD via LeMat-Bulk.

Space-group type ... F-43m (216)

```
4
Lattice="0.000 2.920 2.920 2.920 0.000 2.920 2.920 2.920 0.000" Properties=species:S:1:pos:R:3 pbc="T T T"
Mg 0.000 0.000 0.000
Be 4.380 4.380 4.380
Co 2.920 2.920 2.920
Ge 1.460 1.460 1.460
```

---

Quick one: least stable of them? run 1

---

Run 1
The following is a GGA-PBE calculation of an optimized crystal structure of BeCoTcGe, from OQMD via LeMat-Bulk.

Space-group type ... F-43m (216)

```
4
Lattice="0.000 2.884 2.884 2.884 0.000 2.884 2.884 2.884 0.000" Properties=species:S:1:pos:R:3 pbc="T T T"
Be 0.000 0.000 0.000
Co 2.884 2.884 2.884
Tc 4.326 4.326 4.326
Ge 1.442 1.442 1.442
```

---

Run 2
The following is a GGA-PBE calculation of an optimized crystal structure of BeCoTcGe, from OQMD via LeMat-Bulk.

Space-group type ... F-43m (216)

```
4
Lattice="0.000 2.868 2.868 2.868 0.000 2.868 2.868 2.868 0.000" Properties=species:S:1:pos:R:3 pbc="T T T"
Be 0.000 0.000 0.000
Co 4.302 4.302 4.302
Tc 1.434 1.434 1.434
Ge 2.868 2.868 2.868
```

---

Quick one: least stable of them? run 1

---

Run 1
The following is a GGA-PBE calculation of an optimized crystal structure of BeCoGeW, from OQMD via LeMat-Bulk.

Space-group type ... F-43m (216)

```
4
Lattice="0.000 2.922 2.922 2.922 0.000 2.922 2.922 2.922 0.000" Properties=species:S:1:pos:R:3 pbc="T T T"
Be 0.000 0.000 0.000
Co 2.922 2.922 2.922
Ge 1.461 1.461 1.461
W 4.383 4.383 4.383
```

---

Run 2
The following is a GGA-PBE calculation of an optimized crystal structure of BeCoGeW, from OQMD via LeMat-Bulk.

Space-group type ... F-43m (216)

```
4
Lattice="0.000 2.910 2.910 2.910 0.000 2.910 2.910 2.910 0.000" Properties=species:S:1:pos:R:3 pbc="T T T"
Be 0.000 0.000 0.000
Co 4.365 4.365 4.365
Ge 2.910 2.910 2.910
W 1.455 1.455 1.455
```

---

Quick one: least stable of them? run 1

---

Run 1
The following is a GGA-PBE calculation of an optimized crystal structure of ZrBeCoGe, from OQMD via LeMat-Bulk.

Space-group type ... F-43m (216)

```
4
Lattice="0.000 3.042 3.042 3.042 0.000 3.042 3.042 3.042 0.000" Properties=species:S:1:pos:R:3 pbc="T T T"
Zr 0.000 0.000 0.000
Be 4.562 4.562 4.562
Co 3.042 3.042 3.042
Ge 1.521 1.521 1.521
```

---

Run 2
The following is a GGA-PBE calculation of an optimized crystal structure of ZrBeCoGe, from OQMD via LeMat-Bulk.

Space-group type ... F-43m (216)

```
4
Lattice="0.000 3.006 3.006 3.006 0.000 3.006 3.006 3.006 0.000" Properties=species:S:1:pos:R:3 pbc="T T T"
Zr 0.000 0.000 0.000
Be 1.503 1.503 1.503
Co 4.509 4.509 4.509
Ge 3.006 3.006 3.006
```

---

Quick one: least stable of them? run 1

---

Run 1
The following is a GGA-PBE calculation of an optimized crystal structure of LaHfBeCo, from OQMD via LeMat-Bulk.

Space-group type ... F-43m (216)

```
4
Lattice="0.000 3.259 3.259 3.259 0.000 3.259 3.259 3.259 0.000" Properties=species:S:1:pos:R:3 pbc="T T T"
La 0.000 0.000 0.000
Hf 1.629 1.629 1.629
Be 4.888 4.888 4.888
Co 3.259 3.259 3.259
```

---

Run 2
The following is a GGA-PBE calculation of an optimized crystal structure of LaHfBeCo, from OQMD via LeMat-Bulk.

Space-group type ... F-43m (216)

```
4
Lattice="0.000 3.341 3.341 3.341 0.000 3.341 3.341 3.341 0.000" Properties=species:S:1:pos:R:3 pbc="T T T"
La 0.000 0.000 0.000
Hf 3.341 3.341 3.341
Be 5.012 5.012 5.012
Co 1.671 1.671 1.671
```

---

Run 3
The following is a GGA-PBE calculation of an optimized crystal structure of LaHfBeCo, from OQMD via LeMat-Bulk.

Space-group type ... F-43m (216)

```
4
Lattice="0.000 3.222 3.222 3.222 0.000 3.222 3.222 3.222 0.000" Properties=species:S:1:pos:R:3 pbc="T T T"
La 0.000 0.000 0.000
Hf 1.611 1.611 1.611
Be 3.222 3.222 3.222
Co 4.832 4.832 4.832
```

---

Quick one: least stable of them? run 3